GaMo2O | PBE+U | relaxed

Values from the calculation:
Final energy: -41.2 eV for the cell shown
DOS at the Fermi energy: 1.77 states/eV/cell

Cell: 5.4560 5.4560 5.4560 Å, 108.14 108.14 112.17°
Last column: nearest neighbours and their distance in Å.
Positions (direct):
Ga 0.0000 0.0000 0.0000  8 Mo 2.81-2.97, 2 O 3.04
Ga 0.7500 0.2500 0.5000  8 Mo 2.81-2.97, 2 O 3.04
Mo 0.2157 0.6250 0.0907  2 O 2.05
Mo 0.3750 0.4657 0.5907  2 O 2.05
Mo 0.5343 0.1250 0.9093  2 O 2.05
Mo 0.8750 0.7843 0.4093  2 O 2.05
O 0.2500 0.7500 0.5000  4 Mo 2.05
O 0.5000 0.5000 0.0000  4 Mo 2.05